Entry 1:
Below is crystalline NdY2Ho6Er at its relaxed geometry, with properties calculated at the PBE level.

a b c (Å): 9.393 8.786 8.786
angles (deg): 117.07 92.89 92.89
Element x y z (fractional)
Nd  0.250  0.969  0.031
Nd  0.750  0.031  0.969
Y  0.450  0.798  0.695
Y  0.050  0.305  0.202
Y  0.550  0.202  0.305
Y  0.950  0.695  0.798
Ho  0.058  0.122  0.756
Ho  0.442  0.244  0.878
Ho  0.942  0.878  0.244
Ho  0.558  0.756  0.122
Ho  0.316  0.987  0.439
Ho  0.184  0.561  0.013
Ho  0.684  0.013  0.561
Ho  0.816  0.439  0.987
Ho  0.115  0.709  0.483
Ho  0.385  0.517  0.291
Ho  0.885  0.291  0.517
Ho  0.615  0.483  0.709
Er  0.250  0.411  0.589
Er  0.750  0.589  0.411

The calculation puts the magnetic moment at 0.00 μB/f.u. The formation energy from the elements comes out at 0.125 eV per atom. Its space-group type is No. 15. Its theoretical density is 7.6 Mg/m³.

Entry 2:
Below is crystalline TmAlCu11 at its relaxed geometry, with properties calculated at the PBE level.

a b c (Å): 4.842 6.521 6.422
angles (deg): 82.11 67.86 68.65
Element x y z (fractional)
Tm  0.000  0.000  0.000
Al  0.500  0.500  0.000
Cu  0.283  0.218  0.220
Cu  0.717  0.782  0.780
Cu  0.497  0.782  0.220
Cu  0.503  0.218  0.780
Cu  0.348  0.648  0.644
Cu  0.652  0.352  0.356
Cu  0.008  0.352  0.644
Cu  0.992  0.648  0.356
Cu  0.000  0.500  0.000
Cu  0.500  0.000  0.500
Cu  0.000  0.000  0.500

The calculation puts the magnetic moment at 0.00 μB/f.u. The formation energy from the elements comes out at -0.140 eV per atom. Its space-group type is No. 12. Its theoretical density is 8.5 Mg/m³.

Entry 3:
Below is crystalline CdRh at its relaxed geometry, with properties calculated at the PBE level.

a b c (Å): 8.146 14.829 4.845
angles (deg): 90.00 90.00 90.00
Element x y z (fractional)
Cd  0.334  0.000  0.000
Cd  0.666  0.000  0.000
Cd  0.916  0.750  0.250
Cd  0.584  0.750  0.250
Cd  0.334  0.500  0.500
Cd  0.666  0.500  0.500
Cd  0.916  0.250  0.750
Cd  0.584  0.250  0.750
Cd  0.834  0.000  0.500
Cd  0.166  0.000  0.500
Cd  0.416  0.750  0.750
Cd  0.084  0.750  0.750
Cd  0.834  0.500  0.000
Cd  0.166  0.500  0.000
Cd  0.416  0.250  0.250
Cd  0.084  0.250  0.250
Rh  0.000  0.915  0.000
Rh  0.000  0.085  0.000
Rh  0.250  0.835  0.250
Rh  0.250  0.665  0.250
Rh  0.000  0.415  0.500
Rh  0.000  0.585  0.500
Rh  0.250  0.335  0.750
Rh  0.250  0.165  0.750
Rh  0.500  0.915  0.500
Rh  0.500  0.085  0.500
Rh  0.750  0.835  0.750
Rh  0.750  0.665  0.750
Rh  0.500  0.415  0.000
Rh  0.500  0.585  0.000
Rh  0.750  0.335  0.250
Rh  0.750  0.165  0.250

The calculation puts the magnetic moment at 0.00 μB/f.u. The formation energy from the elements comes out at 0.091 eV per atom. Its space-group type is No. 70. Its theoretical density is 9.8 Mg/m³.

Entry 4:
Below is crystalline Rb2AlTlBr6 at its relaxed geometry, with properties calculated at the PBE level.

a b c (Å): 8.194 8.202 7.860
angles (deg): 58.45 58.43 59.93
Element x y z (fractional)
Rb  0.557  0.556  0.331
Rb  0.075  0.076  0.772
Al  0.316  0.316  0.051
Tl  0.816  0.816  0.551
Br  0.520  0.174  0.283
Br  0.174  0.023  0.287
Br  0.024  0.519  0.285
Br  0.459  0.609  0.816
Br  0.608  0.113  0.818
Br  0.112  0.458  0.820

The calculation puts the magnetic moment at 0.00 μB/f.u. For the energy relative to the elements, uncorrected, the calculation gives -1304 meV/atom. Its space-group type is No. 2. Its theoretical density is 4.0 Mg/m³.

Entry 5:
Below is crystalline ErZrPt6 at its relaxed geometry, with properties calculated at the PBE level.

a b c (Å): 4.076 4.076 8.154
angles (deg): 90.00 90.00 90.00
Element x y z (fractional)
Er  0.000  0.000  0.000
Zr  0.000  0.000  0.500
Pt  0.500  0.500  0.000
Pt  0.500  0.500  0.500
Pt  0.500  0.000  0.256
Pt  0.500  0.000  0.744
Pt  0.000  0.500  0.256
Pt  0.000  0.500  0.744

The calculation puts the magnetic moment at 0.00 μB/f.u. The formation energy from the elements comes out at -1.081 eV per atom. Its space-group type is No. 123. Its theoretical density is 17.5 Mg/m³.

Entry 6:
Below is crystalline Hg4AsSeBr2 at its relaxed geometry, with properties calculated at the PBE level.

a b c (Å): 8.800 8.800 8.091
angles (deg): 117.52 117.52 97.41
Element x y z (fractional)
Hg  0.214  0.752  0.983
Hg  0.748  0.286  0.517
Hg  0.252  0.714  0.483
Hg  0.786  0.248  0.017
Hg  0.789  0.713  0.984
Hg  0.787  0.711  0.516
Hg  0.213  0.289  0.484
Hg  0.211  0.287  0.016
As  0.000  0.500  0.000
As  0.000  0.500  0.500
Se  0.500  0.500  0.500
Se  0.000  0.000  0.000
Br  0.500  0.000  0.000
Br  0.500  0.000  0.500
Br  0.000  0.000  0.500
Br  0.500  0.500  0.000

The calculation puts the magnetic moment at 0.00 μB/f.u. For the energy relative to the elements, uncorrected, the calculation gives -100 meV/atom. Its space-group type is No. 15. Its theoretical density is 8.4 Mg/m³.

Entry 7:
Below is crystalline LaNd2Sm2Y4 at its relaxed geometry, with properties calculated at the PBE level.

a b c (Å): 3.662 9.669 9.720
angles (deg): 115.23 90.00 100.91
Element x y z (fractional)
La  0.000  0.000  0.000
Nd  0.333  0.666  0.999
Nd  0.667  0.334  0.001
Sm  0.852  0.705  0.336
Sm  0.148  0.295  0.664
Y  0.814  0.629  0.663
Y  0.186  0.371  0.337
Y  0.520  0.039  0.336
Y  0.480  0.961  0.664

The calculation puts the magnetic moment at 0.00 μB/f.u. The formation energy from the elements comes out at -0.003 eV per atom. Its space-group type is No. 12. Its theoretical density is 5.9 Mg/m³.

Entry 8:
Below is crystalline NdGa6Co4 at its relaxed geometry, with properties calculated at the PBE level.

a b c (Å): 3.961 6.956 6.956
angles (deg): 120.00 90.00 90.00
Element x y z (fractional)
Nd  0.000  0.000  0.000
Ga  0.000  0.533  0.066
Ga  0.500  0.605  0.803
Ga  0.000  0.533  0.467
Ga  0.000  0.934  0.467
Ga  0.500  0.197  0.803
Ga  0.500  0.197  0.395
Co  0.500  0.786  0.571
Co  0.500  0.429  0.214
Co  0.500  0.786  0.214
Co  0.000  0.333  0.667

The calculation puts the magnetic moment at 0.00 μB/f.u. The formation energy from the elements comes out at -0.297 eV per atom. Its space-group type is No. 187. Its theoretical density is 8.0 Mg/m³.

The lowest theoretical density belongs to which entry?
Rb2AlTlBr6